[1]
The following is a DFT calculation (PBE) of a relaxed structure of BaGeO2.

a b c (Å): 7.337 7.337 7.337
angles (deg): 26.60 26.60 26.60
Atoms (fractional coordinates):
Ge 0.500 0.500 0.500
Ba 0.000 0.000 0.000
O 0.121 0.121 0.121
O 0.879 0.879 0.879

Output
For the formation energy without anion corrections, the calculation gives -20.12 kcal/mol of atoms. For the total energy, the calculation gives -4.987 eV per atom. The magnetization comes out at 0.00 Bohr magnetons per cell.


[2]
The following is a DFT calculation (PBE) of a relaxed structure of Li2Al.

a b c (Å): 6.788 6.788 6.788
angles (deg): 60.00 60.00 60.00
Atoms (fractional coordinates):
Al 0.125 0.625 0.125
Li 0.850 0.449 0.850
Li 0.449 0.850 0.850
Li 0.400 0.400 0.400
Al 0.125 0.125 0.625
Al 0.125 0.125 0.125
Li 0.850 0.850 0.449
Li 0.400 0.801 0.400
Li 0.400 0.400 0.801
Li 0.801 0.400 0.400
Al 0.625 0.125 0.125
Li 0.850 0.850 0.850

Output
For the total energy, the calculation gives -2.337 eV per atom. The magnetization comes out at 1.81 Bohr magnetons per cell.


[3]
The following is a DFT calculation (PBE) of a relaxed structure of UTeI3.

a b c (Å): 7.992 9.066 15.137
angles (deg): 86.73 82.56 63.85
Last column: magnetic moment on the atom in μB.
Atoms (fractional coordinates):
U 0.134 0.885 0.360  2.19
Te 0.651 0.380 0.795  -0.07
I 0.195 0.083 0.197  -0.06
I 0.753 0.741 0.078  -0.06
I 0.247 0.259 0.922  -0.06
I 0.278 0.917 0.697  -0.06
Te 0.031 0.620 0.295  -0.07
I 0.757 0.206 0.038  -0.05
U 0.019 0.115 0.860  2.19
I 0.805 0.917 0.803  -0.06
U 0.981 0.885 0.140  2.19
I 0.506 0.741 0.422  -0.06
Te 0.349 0.620 0.205  -0.07
I 0.243 0.794 0.962  -0.05
I 0.963 0.794 0.538  -0.05
Te 0.969 0.380 0.705  -0.07
I 0.722 0.083 0.303  -0.06
U 0.866 0.115 0.640  2.19
I 0.037 0.206 0.462  -0.05
I 0.494 0.259 0.578  -0.06

Output
For the formation energy without anion corrections, the calculation gives -15.78 kcal/mol of atoms. For the total energy, the calculation gives -4.500 eV per atom. The magnetization comes out at 8.00 Bohr magnetons per cell.


[4]
The following is a DFT calculation (PBE) of a relaxed structure of TaAl7.

a b c (Å): 5.699 5.699 5.699
angles (deg): 60.00 60.00 60.00
Atoms (fractional coordinates):
Al 0.500 0.500 0.500
Al 0.000 0.500 0.500
Al 0.000 0.000 0.500
Ta 0.000 0.000 0.000
Al 0.500 0.000 0.000
Al 0.500 0.500 0.000
Al 0.500 0.000 0.500
Al 0.000 0.500 0.000

Output
For the total energy, the calculation gives -4.824 eV per atom. The magnetization comes out at 0.00 Bohr magnetons per cell.


[5]
The following is a DFT calculation (PBE) of a relaxed structure of NaReI2.

a b c (Å): 5.027 5.027 5.027
angles (deg): 60.00 60.00 60.00
Atoms (fractional coordinates):
Na 0.000 0.000 0.000
Re 0.500 0.500 0.500
I 0.250 0.250 0.250
I 0.750 0.750 0.750

Output
For the formation energy without anion corrections, the calculation gives 19.58 kcal/mol of atoms. For the total energy, the calculation gives -3.368 eV per atom. The magnetization comes out at 0.00 Bohr magnetons per cell. Its relative energy among the computed polymorphs is 390 meV/atom.


[6]
The following is a DFT calculation (PBE) of a relaxed structure of KScPtCl6.

a b c (Å): 6.559 6.559 7.068
angles (deg): 90.01 90.00 60.00
Last column: magnetic moment on the atom in μB.
Atoms (fractional coordinates):
Cl 0.630 0.365 0.704  0.09
Cl 0.005 0.630 0.704  0.09
Cl 0.365 0.005 0.704  0.09
Pt 0.667 0.667 0.500  1.23
Cl 0.365 0.630 0.296  0.09
K 0.000 0.000 0.000  0.00
Cl 0.005 0.365 0.296  0.09
Sc 0.333 0.333 0.500  0.01
Cl 0.630 0.005 0.296  0.09

Output
For the formation energy without anion corrections, the calculation gives -32.09 kcal/mol of atoms. For the total energy, the calculation gives -4.119 eV per atom. The magnetization comes out at 2.00 Bohr magnetons per cell.